# 1
DFT (PBE) results for an optimized crystal structure of KAl.

Summary:
Space group: P6_3/mmc (194)
Spin magnetization (μB per cell): 0.00
ΔE_f (eV/atom): 0.12

Unit cell a=4.623 b=4.623 c=18.410 alpha=90.00 beta=90.00 gamma=120.00
Sites, in units of the cell vectors:
1 K 0.333 0.667 0.117
2 K 0.667 0.333 0.617
3 K 0.667 0.333 0.883
4 K 0.333 0.667 0.383
5 Al 0.000 0.000 0.250
6 Al 0.000 0.000 0.750
7 Al 0.333 0.667 0.750
8 Al 0.667 0.333 0.250

=====

# 2
DFT (PBE) results for an optimized crystal structure of CsLaTlS3.

Summary:
Space group: P2_1/m (11)
Spin magnetization (μB per cell): 0.00
Total DFT energy (no corrections) (eV for the cell shown): -55.73

Unit cell a=4.722 b=9.055 c=10.477 alpha=108.08 beta=90.00 gamma=90.00
Sites, in units of the cell vectors:
1 Cs 0.250 0.223 0.239
2 Cs 0.750 0.777 0.761
3 La 0.250 0.674 0.133
4 La 0.750 0.326 0.867
5 Tl 0.250 0.116 0.604
6 Tl 0.750 0.884 0.396
7 S 0.750 0.883 0.140
8 S 0.250 0.117 0.860
9 S 0.250 0.779 0.447
10 S 0.750 0.221 0.553
11 S 0.750 0.478 0.141
12 S 0.250 0.522 0.859